# 1
DFT (PBE) results for a relaxed CdGeOsPt2 crystal.

```
data_CdGeOsPt2
_chemical_formula_sum 'Cd1 Ge1 Os1 Pt2'
_cell_length_a 4.949
_cell_length_b 4.949
_cell_length_c 4.652
_cell_angle_alpha 90.00
_cell_angle_beta 90.00
_cell_angle_gamma 90.00
_symmetry_space_group_name_H-M 'P 4/m m m'
_symmetry_Int_Tables_number 123
_symmetry_space_group_name_Hall '-P 4 2'
loop_
_atom_site_label
_atom_site_type_symbol
_atom_site_fract_x
_atom_site_fract_y
_atom_site_fract_z
_atom_site_occupancy
Cd1 Cd 0.000 0.000 0.000 1
Ge1 Ge 0.500 0.500 0.000 1
Os1 Os 0.500 0.500 0.500 1
Pt1 Pt 0.000 0.500 0.500 1
```

Computed properties:
E_form	826	meV per atom


# 2
DFT (PBE) results for a relaxed RbCdGeOs2 crystal.

```
data_RbCdGeOs2
_chemical_formula_sum 'Rb1 Cd1 Ge1 Os2'
_cell_length_a 5.149
_cell_length_b 5.149
_cell_length_c 5.213
_cell_angle_alpha 90.00
_cell_angle_beta 90.00
_cell_angle_gamma 90.00
_symmetry_space_group_name_H-M 'P 4/m m m'
_symmetry_Int_Tables_number 123
_symmetry_space_group_name_Hall '-P 4 2'
loop_
_atom_site_label
_atom_site_type_symbol
_atom_site_fract_x
_atom_site_fract_y
_atom_site_fract_z
_atom_site_occupancy
Rb1 Rb 0.000 0.000 0.000 1
Cd1 Cd 0.500 0.500 0.500 1
Ge1 Ge 0.500 0.500 0.000 1
Os1 Os 0.000 0.500 0.500 1
```

Computed properties:
E_form	2171	meV per atom